Here is a geometry-optimized K2GaNiAu structure from the Alexandria database. Energies are from GGA-PBE.

Calculated values
Energy of formation from the pure elements: 0.47 eV/atom
Total DFT energy (no corrections): -11.93 eV for the cell shown
Crystal system: tetragonal

a = 5.906 Å, b = 4.847 Å, c = 5.906 Å
α = 90.00°, β = 90.00°, γ = 90.00°
Atoms (fractional coordinates):
Ni: 0.000 0.000 0.000
K: 0.000 0.000 0.500
K: 0.500 0.000 0.000
Au: 0.000 0.500 0.000
Ga: 0.500 0.500 0.500

Here is a geometry-optimized Rb2Ga2As3 structure from the Alexandria database. Energies are from GGA-PBE.

Calculated values
Relative energy among the computed polymorphs: 0.0000 eV per atom
Energy of formation from the pure elements: -0.34 eV/atom
Total DFT energy (no corrections): -97.15 eV for the cell shown
Crystal system: monoclinic

a = 7.199 Å, b = 11.424 Å, c = 11.424 Å
α = 82.87°, β = 72.37°, γ = 72.37°
Atoms (fractional coordinates):
Rb: 0.870 0.015 0.191
Rb: 0.370 0.191 0.015
Rb: 0.750 0.295 0.705
Rb: 0.750 0.574 0.426
Rb: 0.250 0.426 0.574
Rb: 0.250 0.705 0.295
Rb: 0.630 0.809 0.985
Rb: 0.130 0.985 0.809
Ga: 0.643 0.344 0.203
Ga: 0.631 0.094 0.517
Ga: 0.143 0.203 0.344
Ga: 0.131 0.517 0.094
Ga: 0.869 0.483 0.906
Ga: 0.857 0.797 0.656
Ga: 0.369 0.906 0.483
Ga: 0.357 0.656 0.797
As: 0.760 0.266 0.397
As: 0.762 0.535 0.129
As: 0.260 0.397 0.266
As: 0.262 0.129 0.535
As: 0.844 0.269 0.992
As: 0.156 0.731 0.008
As: 0.738 0.871 0.465
As: 0.740 0.603 0.734
As: 0.344 0.992 0.269
As: 0.238 0.465 0.871
As: 0.240 0.734 0.603
As: 0.656 0.008 0.731

Here is a geometry-optimized Pr3Pu4S8 structure from the Alexandria database. Energies are from GGA-PBE.

Calculated values
Total DFT energy (no corrections): -132.46 eV for the cell shown
Crystal system: monoclinic
Formation energy (no corrections): -1.852 eV per atom

a = 8.060 Å, b = 8.059 Å, c = 8.059 Å
α = 89.98°, β = 119.96°, γ = 119.96°
Site moments in Bohr magnetons follow the coordinates.
Atoms (fractional coordinates):
Pr: 0.500 0.500 0.000  0.04
Pr: 0.500 0.000 0.500  0.04
Pr: 0.500 0.500 0.500  0.04
Pu: 0.500 0.000 0.000  -5.17
Pu: 0.000 0.500 0.000  5.30
Pu: 0.000 0.000 0.000  5.18
Pu: 0.000 0.000 0.500  5.30
S: 0.494 0.243 0.243  0.01
S: 0.000 0.755 0.245  -0.08
S: 0.994 0.242 0.242  -0.06
S: 0.500 0.754 0.246  -0.02
S: 0.500 0.246 0.754  -0.02
S: 0.006 0.758 0.758  -0.06
S: 0.000 0.245 0.755  -0.08
S: 0.506 0.757 0.757  0.01

Here is a geometry-optimized SrSeF2 structure from the Alexandria database. Energies are from GGA-PBE.

Calculated values
Relative energy among the computed polymorphs: 0.3529 eV per atom
Total DFT energy (no corrections): -16.81 eV for the cell shown
Crystal system: cubic
Formation energy (no corrections): -1.974 eV per atom

a = 4.670 Å, b = 4.670 Å, c = 4.670 Å
α = 60.00°, β = 60.00°, γ = 60.00°
Site moments in Bohr magnetons follow the coordinates.
Atoms (fractional coordinates):
Sr: 0.500 0.500 0.500  0.02
Se: 0.000 0.000 0.000  0.99
F: 0.250 0.250 0.250  0.20
F: 0.750 0.750 0.750  0.20

What did we get for density of states at the Fermi level? Answer: 1.15 0.44 2.67 0.09 states/eV per atom, in the order shown.